[1]
AcPaBe2O6 | GGA-PBE | relaxed

As for the formation energy from raw total energies: -306.4 kJ/mol of atoms. As for the total energy: -8.26 eV per atom. The density of states at the Fermi level is 0.00 states/eV per cell. As for the spin magnetization: 0.00 μB/atom.

The space group is R-3 (No. 148, hexagonal axes) and the conventional cell measures 5.2947, 5.2947 and 17.3358 Å, with angles of 90.00, 90.00 and 120.00 degrees. The asymmetric unit holds Ac at (0.0000, 0.0000, 0.0000), Pa at (0.0000, 0.0000, 0.5000), Be at (0.0000, 0.0000, 0.2404) and O at (0.0239, 0.3926, 0.9096).

=====

[2]
Tb3PmNd6Ho2 | GGA-PBE | relaxed

As for the total energy: -4.69 eV per atom. The density of states at the Fermi level is 29.31 states/eV per cell. As for the spin magnetization: 0.00 μB/atom.

The space group is C2/m (No. 12) and the conventional cell measures 6.289, 10.892 and 11.930 Å, with angles of 90.00, 100.10 and 90.00 degrees. The asymmetric unit holds Tb at (0.000, 0.000, 0.000), Tb at (0.000, 0.333, 0.000), Pm at (0.000, 0.500, 0.500), Nd at (0.249, 0.167, 0.250), Nd at (0.250, 0.000, 0.750) and Ho at (0.000, 0.167, 0.500).

=====

[3]
CsPm2Te3 | GGA-PBE | relaxed

As for the formation energy from raw total energies: -122.7 kJ/mol of atoms. As for the total energy: -4.57 eV per atom. The density of states at the Fermi level is 13.45 states/eV per cell. As for the spin magnetization: 0.06 μB/atom.

The space group is Cmcm (No. 63) and the conventional cell measures 5.331, 17.833 and 10.763 Å, with angles of 90.00, 90.00 and 90.00 degrees. The asymmetric unit holds Cs at (0.000, 0.227, 0.250), Pm at (0.000, 0.000, 0.000), Pm at (0.000, 0.479, 0.250), Te at (0.000, 0.099, 0.750) and Te at (0.000, 0.394, 0.546).